# Mg2BeBr, optimized geometry, DFT PBE-GGA
# Space group: No. 119
# Calculated total energy: -7.64 eV/f.u.
# Formation energy (no corrections): 0.237 eV per atom
# Fermi-level density of states: 1.6 states/eV/cell
# Crystal system: tetragonal
# Polymorph energy (0 for the lowest one): 0.362 eV/atom
data_Mg2BeBr
_cell_length_a 6.113
_cell_length_b 6.113
_cell_length_c 6.113
_cell_angle_alpha 142.26
_cell_angle_beta 142.26
_cell_angle_gamma 54.44
_space_group_name_H-M_alt 'P 1'
_space_group_IT_number 1
loop_
_space_group_symop_operation_xyz
'x,y,z'
loop_
_atom_site_label
_atom_site_type_symbol
_atom_site_fract_x
_atom_site_fract_y
_atom_site_fract_z
Be1 Be 0.500 0.500 0.000
Mg1 Mg 0.000 0.000 0.000
Mg2 Mg 0.250 0.750 0.500
Br1 Br 0.750 0.250 0.500